Below is a relaxed V2CrO6 crystal, with properties calculated at the PBE with a Hubbard U level.

```
data_V2CrO6
_chemical_formula_sum 'V4 Cr2 O12'
_cell_length_a 5.531
_cell_length_b 6.761
_cell_length_c 7.105
_cell_angle_alpha 83.61
_cell_angle_beta 78.11
_cell_angle_gamma 71.56
_space_group_name_H-M_alt 'P -1'
_space_group_IT_number 2
loop_
_space_group_symop_operation_xyz
'x,y,z'
'-x,-y,-z'
loop_
_atom_site_label
_atom_site_type_symbol
_atom_site_fract_x
_atom_site_fract_y
_atom_site_fract_z
V1 V 0.186 0.337 0.108
V2 V 0.254 0.887 0.714
Cr1 Cr 0.254 0.418 0.583
O1 O 0.058 0.109 0.164
O2 O 0.132 0.464 0.333
O3 O 0.218 0.459 0.872
O4 O 0.237 0.130 0.611
O5 O 0.360 0.691 0.538
O6 O 0.467 0.821 0.875
```

Computed properties:
As for the total DFT energy (no corrections): -7.68 eV/atom. As for the volume: 123 Å³/f.u.